First-principles (PBEsol) data for a relaxed structure of Ba2ReCl, as listed in the Alexandria database.

Summary:
Energy above the most stable polymorph in this dataset: 0.000 eV/atom

a = 5.638 Å, b = 5.638 Å, c = 3.426 Å
α = 90.00°, β = 90.00°, γ = 90.00°
Space group P4/mmm (No. 123)
Asymmetric unit:
Ba: 0.000 0.500 0.000
Re: 0.000 0.000 0.500
Cl: 0.500 0.500 0.500



First-principles (PBEsol) data for a relaxed structure of BaReCl, as listed in the Alexandria database.

Summary:
Energy above the most stable polymorph in this dataset: 0.000 eV/atom

a = 7.161 Å, b = 7.161 Å, c = 7.161 Å
α = 90.00°, β = 90.00°, γ = 90.00°
Space group F-43m (No. 216)
Asymmetric unit:
Ba: 0.000 0.000 0.000
Re: 0.000 0.000 0.500
Cl: 0.250 0.250 0.750



First-principles (PBEsol) data for a relaxed structure of Ba3RhCl, as listed in the Alexandria database.

a = 5.745 Å, b = 5.745 Å, c = 5.745 Å
α = 90.00°, β = 90.00°, γ = 90.00°
Space group Pm-3m (No. 221)
Asymmetric unit:
Ba: 0.000 0.000 0.500
Rh: 0.500 0.500 0.500
Cl: 0.000 0.000 0.000



First-principles (PBEsol) data for a relaxed structure of Ba2RhCl, as listed in the Alexandria database.

a = 4.479 Å, b = 4.479 Å, c = 6.148 Å
α = 90.00°, β = 90.00°, γ = 90.00°
Space group P4mm (No. 99)
Asymmetric unit:
Ba: 0.000 0.000 0.000
Ba: 0.500 0.500 0.482
Rh: 0.000 0.000 0.460
Cl: 0.500 0.500 0.981



Number 1: DOS(E_F) 0.768 states/eV/atom, formation energy from raw total energies 0.05 eV per atom, total energy -0.35737 Ry per atom. Number 2: DOS(E_F) 1.099 states/eV/atom, formation energy from raw total energies 1.03 eV per atom, total energy -0.35265 Ry per atom. Number 3: DOS(E_F) 1.021 states/eV/atom, formation energy from raw total energies -0.18 eV per atom, total energy -0.25702 Ry per atom. Number 4: DOS(E_F) 0.206 states/eV/atom, formation energy from raw total energies -0.93 eV per atom, total energy -0.33401 Ry per atom.